Ba2LiCl after structural relaxation, computed with PBE.

Unit cell a=4.0929 b=4.0927 c=9.0287 alpha=90.00 beta=90.00 gamma=90.00
Closest atoms and distances in Å follow each position.
Fractional coordinates of all 4 atoms:
Ba 0.0000 0.0000 0.0032  4 Cl 3.65, 4 Li 3.69
Ba 0.0000 0.0000 0.4968  4 Cl 3.65, 4 Li 3.69
Cl 0.5000 0.5000 0.2500  8 Ba 3.65
Li 0.5000 0.5000 0.7500  8 Ba 3.69, 4 Li 4.09

magnetization: 0.00 μB/f.u.
formation energy (no corrections): -0.72 eV/atom

ReSbPO2 after structural relaxation, computed with PBE.

Unit cell a=3.8832 b=3.8832 c=5.4856 alpha=90.00 beta=90.00 gamma=90.00
Closest atoms and distances in Å follow each position.
Fractional coordinates of all 5 atoms:
Re 0.5000 0.5000 0.5000  4 P 2.75
O 0.0000 0.5000 0.0000  2 Sb 1.94
O 0.5000 0.0000 0.0000  2 Sb 1.94
P 0.0000 0.0000 0.5000  2 Sb 2.74, 4 Re 2.75
Sb 0.0000 0.0000 0.0000  4 O 1.94

magnetization: 4.16 μB/f.u.
formation energy (no corrections): 0.34 eV/atom

Tb5Y5Sb6 after structural relaxation, computed with PBE.

Unit cell a=6.3303 b=9.0204 c=9.0204 alpha=120.06 beta=90.00 gamma=90.00
Closest atoms and distances in Å follow each position.
Fractional coordinates of all 16 atoms:
Tb 0.7500 0.3334 0.6664  2 Tb 3.16-3.17, 6 Sb 3.21
Tb 0.7500 0.6664 0.3334  2 Tb 3.16-3.17, 6 Sb 3.21
Tb 0.2500 0.6664 0.3334  2 Tb 3.16-3.17, 6 Sb 3.21
Tb 0.2500 0.3334 0.6664  2 Tb 3.16-3.17, 6 Sb 3.21
Tb 0.0000 0.2473 0.2473  5 Sb 3.07-3.41
Y 0.0000 0.7524 0.0000  5 Sb 3.07-3.41
Y 0.0000 0.0000 0.7524  5 Sb 3.07-3.41
Y 0.5000 0.7527 0.7527  5 Sb 3.07-3.41
Y 0.5000 0.2479 0.0001  5 Sb 3.07-3.41
Y 0.5000 0.0001 0.2479  5 Sb 3.07-3.41
Sb 0.0000 0.6122 0.6122  4 Y 3.07-3.41, 5 Tb 3.21-3.29
Sb 0.0000 0.3881 0.9996  4 Y 3.07-3.41, 5 Tb 3.07-3.21
Sb 0.0000 0.9996 0.3881  4 Y 3.07-3.41, 5 Tb 3.07-3.21
Sb 0.5000 0.3880 0.3880  3 Y 3.07-3.29, 6 Tb 3.21-3.41
Sb 0.5000 0.6121 0.0000  5 Y 3.07-3.41, 4 Tb 3.21
Sb 0.5000 0.0000 0.6121  5 Y 3.07-3.41, 4 Tb 3.21

magnetization: 0.00 μB/f.u.
formation energy (no corrections): -0.95 eV/atom